Version P
VASP calculation (meta-GGA SCAN) on a PBEsol-optimized structure of Ta2Be.

Calculated values
* symmetry: I4/mmm, No. 139
* calculated volume: 44 Å³ per cell
* DOS at the Fermi energy: 2.2 states/eV/cell

Cell: 6.179 6.179 6.179 Å, 154.27 154.27 36.71°
Element x y z (fractional)
Ta 0.146 0.146 0.000
Ta 0.854 0.854 0.000
Be 0.500 0.500 0.000

Version Q
VASP calculation (meta-GGA SCAN) on a PBEsol-optimized structure of Ta2Be.

Calculated values
* symmetry: P6/mmm, No. 191
* calculated volume: 47 Å³ per cell
* DOS at the Fermi energy: 2.3 states/eV/cell

Cell: 4.489 4.489 2.713 Å, 90.00 90.00 120.00°
Element x y z (fractional)
Ta 0.333 0.667 0.000
Ta 0.667 0.333 0.000
Be 0.000 0.000 0.500

Tell me which of them is the most stable. Sure, it is version P.

Version P
VASP calculation (meta-GGA SCAN) on a PBEsol-optimized structure of Ta2Be.

Calculated values
* symmetry: P-62m, No. 189
* calculated volume: 133 Å³ per cell
* DOS at the Fermi energy: 7.2 states/eV/cell

Cell: 6.693 6.693 3.420 Å, 90.00 90.00 120.00°
Element x y z (fractional)
Ta 0.000 0.404 0.000
Ta 0.000 0.744 0.500
Ta 0.256 0.256 0.500
Ta 0.404 0.000 0.000
Ta 0.596 0.596 0.000
Ta 0.744 0.000 0.500
Be 0.000 0.000 0.000
Be 0.333 0.667 0.500
Be 0.667 0.333 0.500

Version Q
VASP calculation (meta-GGA SCAN) on a PBEsol-optimized structure of Ta2Be.

Calculated values
* symmetry: Cmcm, No. 63
* calculated volume: 89 Å³ per cell
* DOS at the Fermi energy: 3.3 states/eV/cell

Cell: 6.338 6.338 4.270 Å, 90.00 90.00 148.57°
Element x y z (fractional)
Ta 0.072 0.928 0.750
Ta 0.246 0.754 0.250
Ta 0.754 0.246 0.750
Ta 0.928 0.072 0.250
Be 0.408 0.592 0.750
Be 0.592 0.408 0.250

Version R
VASP calculation (meta-GGA SCAN) on a PBEsol-optimized structure of Ta2Be.

Calculated values
* symmetry: I4/mcm, No. 140
* calculated volume: 87 Å³ per cell
* DOS at the Fermi energy: 4.3 states/eV/cell

Cell: 4.876 4.876 4.876 Å, 104.29 104.29 120.42°
Element x y z (fractional)
Ta 0.161 0.661 0.821
Ta 0.339 0.161 0.500
Ta 0.661 0.839 0.500
Ta 0.839 0.339 0.179
Be 0.250 0.250 0.000
Be 0.750 0.750 0.000

Tell me which of them is the most stable. Sure, it is version R.

Version P
VASP calculation (meta-GGA SCAN) on a PBEsol-optimized structure of Ta3Be.

Calculated values
* symmetry: I4/mmm, No. 139
* calculated volume: 64 Å³ per cell
* DOS at the Fermi energy: 3.7 states/eV/cell

Cell: 4.968 4.968 4.968 Å, 133.12 133.12 68.46°
Element x y z (fractional)
Ta 0.000 0.000 0.000
Ta 0.250 0.750 0.500
Ta 0.750 0.250 0.500
Be 0.500 0.500 0.000

Version Q
VASP calculation (meta-GGA SCAN) on a PBEsol-optimized structure of Ta3Be.

Calculated values
* symmetry: C2/m, No. 12
* calculated volume: 64 Å³ per cell
* DOS at the Fermi energy: 2.4 states/eV/cell

Cell: 4.858 4.858 4.850 Å, 102.51 102.51 34.99°
Element x y z (fractional)
Ta 0.000 0.000 0.000
Ta 0.231 0.231 0.728
Ta 0.769 0.769 0.272
Be 0.500 0.500 0.500

Tell me which of them is the most stable. Sure, it is version Q.

Version P
VASP calculation (meta-GGA SCAN) on a PBEsol-optimized structure of Ta2BeTe.

Calculated values
* symmetry: P4/mmm, No. 123
* calculated volume: 67 Å³ per cell
* DOS at the Fermi energy: 2.7 states/eV/cell

Cell: 4.071 4.071 4.015 Å, 90.00 90.00 90.00°
Element x y z (fractional)
Ta 0.000 0.500 0.000
Ta 0.500 0.000 0.000
Be 0.000 0.000 0.500
Te 0.500 0.500 0.500

Version Q
VASP calculation (meta-GGA SCAN) on a PBEsol-optimized structure of Ta2BeTe.

Calculated values
* symmetry: C2/m, No. 12
* calculated volume: 69 Å³ per cell
* DOS at the Fermi energy: 2.3 states/eV/cell

Cell: 4.818 4.818 4.742 Å, 97.85 97.85 39.20°
Element x y z (fractional)
Ta 0.250 0.250 0.229
Ta 0.750 0.750 0.771
Be 0.500 0.500 0.000
Te 0.000 0.000 0.500

Tell me which of them is the most stable. Sure, it is version Q.

Version P
VASP calculation (meta-GGA SCAN) on a PBEsol-optimized structure of TaBeTl.

Calculated values
* symmetry: I4mm, No. 107
* calculated volume: 49 Å³ per cell
* DOS at the Fermi energy: 1.1 states/eV/cell

Cell: 5.845 5.845 5.845 Å, 150.12 150.12 42.76°
Element x y z (fractional)
Ta 0.000 0.000 0.000
Be 0.367 0.367 0.000
Tl 0.704 0.704 0.000

Version Q
VASP calculation (meta-GGA SCAN) on a PBEsol-optimized structure of TaBeTl.

Calculated values
* symmetry: F-43m, No. 216
* calculated volume: 59 Å³ per cell
* DOS at the Fermi energy: 3.1 states/eV/cell

Cell: 4.371 4.371 4.371 Å, 60.00 60.00 60.00°
Element x y z (fractional)
Ta 0.000 0.000 0.000
Be 0.500 0.500 0.500
Tl 0.750 0.750 0.750

Tell me which of them is the most stable. Sure, it is version P.

Version P
VASP calculation (meta-GGA SCAN) on a PBEsol-optimized structure of YTa2Be.

Calculated values
* symmetry: F-43m, No. 216
* calculated volume: 71 Å³ per cell
* DOS at the Fermi energy: 4.4 states/eV/cell

Cell: 4.658 4.658 4.658 Å, 60.00 60.00 60.00°
Element x y z (fractional)
Y 0.000 0.000 0.000
Ta 0.500 0.500 0.500
Ta 0.750 0.750 0.750
Be 0.250 0.250 0.250

Version Q
VASP calculation (meta-GGA SCAN) on a PBEsol-optimized structure of YTa2Be.

Calculated values
* symmetry: C2/m, No. 12
* calculated volume: 73 Å³ per cell
* DOS at the Fermi energy: 3.5 states/eV/cell

Cell: 5.689 5.689 2.980 Å, 103.21 103.21 121.28°
Element x y z (fractional)
Y 0.000 0.000 0.000
Ta 0.000 0.500 0.500
Ta 0.500 0.000 0.500
Be 0.500 0.500 0.000

Tell me which of them is the most stable. Sure, it is version P.